(1)
Density functional theory data (PBE-GGA) for a geometry-optimized PmYNp2Se4 structure.

Unit cell a=4.1239 b=7.1960 c=7.0903 alpha=109.60 beta=90.00 gamma=90.00
Last column: nearest neighbours and their distance in Å.
Sites, in units of the cell vectors:
Np 0.5000 0.0000 0.5000  6 Se 2.92-2.93
Np 0.0000 0.5000 0.5000  6 Se 2.88-2.90
Y 0.5000 0.5000 0.0000  6 Se 2.90-2.91
Se 0.0000 0.7470 0.2506  3 Np 2.90-2.92, 2 Y 2.91, 1 Pm 2.94
Se 0.0000 0.2530 0.7494  3 Np 2.90-2.92, 2 Y 2.91, 1 Pm 2.94
Se 0.5000 0.7435 0.7461  3 Np 2.88-2.93, 1 Y 2.90, 2 Pm 2.94
Se 0.5000 0.2565 0.2539  3 Np 2.88-2.93, 1 Y 2.90, 2 Pm 2.94
Pm 0.0000 0.0000 0.0000  6 Se 2.94

Calculated values
Crystal system: monoclinic
DOS(E_F), states/eV/atom: 2.645
Formation energy from raw total energies, eV per atom: -1.42

(2)
Density functional theory data (PBE-GGA) for a geometry-optimized Pm2NpSi structure.

Unit cell a=5.2527 b=5.2527 c=5.2527 alpha=60.00 beta=60.00 gamma=60.00
Last column: nearest neighbours and their distance in Å.
Sites, in units of the cell vectors:
Np 0.0000 0.0000 0.0000  8 Pm 3.22
Pm 0.2500 0.2500 0.2500  4 Np 3.22, 4 Si 3.22
Pm 0.7500 0.7500 0.7500  4 Si 3.22, 4 Np 3.22
Si 0.5000 0.5000 0.5000  8 Pm 3.22

Calculated values
Crystal system: cubic
DOS(E_F), states/eV/atom: 4.788
Formation energy from raw total energies, eV per atom: 0.29

(3)
Density functional theory data (PBE-GGA) for a geometry-optimized PmNpZnSi structure.

Unit cell a=5.0306 b=5.0306 c=5.0306 alpha=60.00 beta=60.00 gamma=60.00
Last column: nearest neighbours and their distance in Å.
Sites, in units of the cell vectors:
Pm 0.5000 0.5000 0.5000  4 Zn 3.08, 4 Si 3.08
Zn 0.7500 0.7500 0.7500  4 Pm 3.08, 4 Np 3.08
Np 0.0000 0.0000 0.0000  4 Zn 3.08, 4 Si 3.08
Si 0.2500 0.2500 0.2500  4 Pm 3.08, 4 Np 3.08

Calculated values
Crystal system: cubic
DOS(E_F), states/eV/atom: 1.149
Formation energy from raw total energies, eV per atom: -0.10

(4)
Density functional theory data (PBE-GGA) for a geometry-optimized Pm3NpSn12 structure.

Unit cell a=4.7298 b=4.7298 c=18.8850 alpha=90.00 beta=90.00 gamma=90.00
Last column: nearest neighbours and their distance in Å.
Sites, in units of the cell vectors:
Sn 0.0000 0.5000 0.8799  8 Sn 3.28-3.37, 2 Np 3.28, 2 Pm 3.33
Sn 0.0000 0.5000 0.6272  8 Sn 3.34-3.37, 4 Pm 3.37-3.39
Sn 0.5000 0.0000 0.6272  8 Sn 3.34-3.37, 4 Pm 3.37-3.39
Sn 0.5000 0.5000 0.0000  8 Sn 3.28, 4 Np 3.34
Sn 0.5000 0.0000 0.3728  8 Sn 3.34-3.37, 4 Pm 3.37-3.39
Sn 0.5000 0.5000 0.7531  4 Pm 3.34, 8 Sn 3.35-3.37
Sn 0.5000 0.5000 0.5000  4 Pm 3.34, 8 Sn 3.37
Sn 0.0000 0.5000 0.3728  8 Sn 3.34-3.37, 4 Pm 3.37-3.39
Sn 0.5000 0.5000 0.2469  4 Pm 3.34, 8 Sn 3.35-3.37
Sn 0.0000 0.5000 0.1201  8 Sn 3.28-3.37, 2 Np 3.28, 2 Pm 3.33
Sn 0.5000 0.0000 0.8799  8 Sn 3.28-3.37, 2 Np 3.28, 2 Pm 3.33
Sn 0.5000 0.0000 0.1201  8 Sn 3.28-3.37, 2 Np 3.28, 2 Pm 3.33
Pm 0.0000 0.0000 0.5000  12 Sn 3.34-3.37
Pm 0.0000 0.0000 0.7558  12 Sn 3.33-3.39
Pm 0.0000 0.0000 0.2442  12 Sn 3.33-3.39
Np 0.0000 0.0000 0.0000  12 Sn 3.28-3.34

Calculated values
Crystal system: tetragonal
DOS(E_F), states/eV/atom: 1.075
Uncorrected energy, eV per atom: -5.1091

(5)
Density functional theory data (PBE-GGA) for a geometry-optimized Pm2NpSn structure.

Unit cell a=3.3752 b=3.3752 c=12.2412 alpha=82.08 beta=82.08 gamma=60.00
Last column: nearest neighbours and their distance in Å.
Sites, in units of the cell vectors:
Np 0.0000 0.0000 0.0000  2 Pm 3.33, 6 Np 3.38
Sn 0.5000 0.5000 0.5000  6 Pm 3.34, 6 Sn 3.38
Pm 0.0919 0.0919 0.7244  1 Np 3.33, 3 Sn 3.34, 6 Pm 3.38
Pm 0.9081 0.9081 0.2756  1 Np 3.33, 3 Sn 3.34, 6 Pm 3.38

Calculated values
Crystal system: trigonal
DOS(E_F), states/eV/atom: 2.498
Energy above the most stable polymorph in this dataset, eV/atom: 0.179

(6)
Density functional theory data (PBE-GGA) for a geometry-optimized Pm2NpSn structure.

Unit cell a=5.4598 b=5.4598 c=5.4598 alpha=60.00 beta=60.00 gamma=60.00
Last column: nearest neighbours and their distance in Å.
Sites, in units of the cell vectors:
Np 0.0000 0.0000 0.0000  8 Pm 3.34
Sn 0.5000 0.5000 0.5000  8 Pm 3.34
Pm 0.2500 0.2500 0.2500  4 Sn 3.34, 4 Np 3.34
Pm 0.7500 0.7500 0.7500  4 Sn 3.34, 4 Np 3.34

Calculated values
Crystal system: cubic
DOS(E_F), states/eV/atom: 4.839
Energy above the most stable polymorph in this dataset, eV/atom: 0.000

(7)
Density functional theory data (PBE-GGA) for a geometry-optimized TbPmNp structure.

Unit cell a=3.5553 b=5.9949 c=8.6469 alpha=101.90 beta=101.86 gamma=90.00
Last column: nearest neighbours and their distance in Å.
Sites, in units of the cell vectors:
Np 0.2374 0.8644 0.4749  2 Np 2.39
Np 0.7626 0.1356 0.5251  2 Np 2.39
Tb 0.5670 0.7942 0.1340  3 Np 3.34-3.51, 3 Tb 3.56-3.69, 6 Pm 3.60-3.65
Tb 0.4330 0.2058 0.8660  3 Np 3.34-3.51, 3 Tb 3.56-3.69, 6 Pm 3.60-3.65
Pm 0.1260 0.3255 0.2519  4 Np 3.30-3.66, 2 Pm 3.56, 6 Tb 3.60-3.65
Pm 0.8740 0.6745 0.7481  4 Np 3.30-3.66, 2 Pm 3.56, 6 Tb 3.60-3.65

Calculated values
Crystal system: monoclinic
DOS(E_F), states/eV/atom: 2.016
Uncorrected energy, eV per atom: -7.1962

(8)
Density functional theory data (PBE-GGA) for a geometry-optimized PmNpTc structure.

Unit cell a=3.1733 b=4.7895 c=10.7940 alpha=95.39 beta=90.00 gamma=109.35
Last column: nearest neighbours and their distance in Å.
Sites, in units of the cell vectors:
Pm 0.6469 0.2937 0.1184  1 Tc 3.00, 2 Pm 3.17
Pm 0.3531 0.7063 0.8816  1 Tc 3.00, 2 Pm 3.17
Np 0.5870 0.1739 0.6516  3 Tc 2.45-2.71
Np 0.4130 0.8261 0.3484  3 Tc 2.45-2.71
Tc 0.6831 0.3662 0.3978  3 Np 2.45-2.71
Tc 0.3169 0.6338 0.6022  3 Np 2.45-2.71

Calculated values
Crystal system: monoclinic
DOS(E_F), states/eV/atom: 2.060
Uncorrected energy, eV per atom: -8.8921

(9)
Density functional theory data (PBE-GGA) for a geometry-optimized PmNpTc4 structure.

Unit cell a=5.4135 b=5.4135 c=5.4135 alpha=60.00 beta=60.00 gamma=60.00
Last column: nearest neighbours and their distance in Å.
Sites, in units of the cell vectors:
Pm 0.0000 0.0000 0.0000  12 Tc 3.17, 4 Np 3.32
Tc 0.6250 0.6250 0.1251  6 Tc 2.71
Tc 0.1251 0.6250 0.6250  6 Tc 2.71
Tc 0.6250 0.6250 0.6250  6 Tc 2.71
Tc 0.6250 0.1251 0.6250  6 Tc 2.71
Np 0.2500 0.2500 0.2500  12 Tc 3.17, 4 Pm 3.32

Calculated values
Crystal system: cubic
DOS(E_F), states/eV/atom: 2.639
Uncorrected energy, eV per atom: -9.7189

(10)
Density functional theory data (PBE-GGA) for a geometry-optimized PmNpTc2 structure.

Unit cell a=4.8419 b=4.8419 c=4.8419 alpha=60.00 beta=60.00 gamma=60.00
Last column: nearest neighbours and their distance in Å.
Sites, in units of the cell vectors:
Np 0.0000 0.0000 0.0000  8 Tc 2.97
Tc 0.2500 0.2500 0.2500  4 Np 2.97, 4 Pm 2.97
Tc 0.7500 0.7500 0.7500  4 Pm 2.97, 4 Np 2.97
Pm 0.5000 0.5000 0.5000  8 Tc 2.97

Calculated values
Crystal system: cubic
DOS(E_F), states/eV/atom: 2.438
Energy above the most stable polymorph in this dataset, eV/atom: 0.201

(11)
Density functional theory data (PBE-GGA) for a geometry-optimized PmNpTc2 structure.

Unit cell a=3.3346 b=3.3346 c=7.2672 alpha=90.00 beta=90.00 gamma=90.00
Last column: nearest neighbours and their distance in Å.
Sites, in units of the cell vectors:
Pm 0.5000 0.5000 0.5000  8 Tc 3.23, 4 Pm 3.33
Tc 0.0000 0.0000 0.1966  4 Np 2.76, 1 Tc 2.86
Tc 0.0000 0.0000 0.8034  4 Np 2.76, 1 Tc 2.86
Np 0.5000 0.5000 0.0000  8 Tc 2.76

Calculated values
Crystal system: tetragonal
DOS(E_F), states/eV/atom: 1.257
Energy above the most stable polymorph in this dataset, eV/atom: 0.000

(12)
Density functional theory data (PBE-GGA) for a geometry-optimized PmNp2Te4 structure.

Unit cell a=4.2974 b=7.5134 c=15.1415 alpha=90.00 beta=90.00 gamma=106.62
Last column: nearest neighbours and their distance in Å.
Sites, in units of the cell vectors:
Te 0.5000 0.0000 0.5000  4 Np 3.07
Te 0.7786 0.5572 0.1254  3 Np 3.10-3.14, 2 Pm 3.23
Te 0.0431 0.0862 0.2500  2 Np 3.10, 2 Pm 3.16
Te 0.9569 0.9138 0.7500  2 Np 3.10, 2 Pm 3.16
Te 0.2214 0.4428 0.8746  3 Np 3.10-3.14, 2 Pm 3.23
Te 0.2214 0.4428 0.6254  3 Np 3.10-3.14, 2 Pm 3.23
Te 0.7786 0.5572 0.3746  3 Np 3.10-3.14, 2 Pm 3.23
Te 0.5000 0.0000 0.0000  4 Np 3.07
Pm 0.3823 0.7646 0.2500  6 Te 3.16-3.23
Pm 0.6177 0.2354 0.7500  6 Te 3.16-3.23
Np 0.1363 0.2725 0.4344  6 Te 3.07-3.14
Np 0.8637 0.7275 0.9344  6 Te 3.07-3.14
Np 0.1363 0.2725 0.0656  6 Te 3.07-3.14
Np 0.8637 0.7275 0.5656  6 Te 3.07-3.14

Calculated values
Crystal system: orthorhombic
DOS(E_F), states/eV/atom: 3.456
Formation energy from raw total energies, eV per atom: -0.86